VASP calculation (GGA-PBE) on an optimized crystal structure of Cu3Ru5.

The value obtained for the relative energy among the computed polymorphs is 1.54 eV/f.u. The volume is 219.2 Å³/cell. Its total moment is 0.3254 μB per atom. The value obtained for the formation energy is 0.5329 eV/atom. The value obtained for the density of states at the Fermi level is 23.28 states/eV/cell.

Lattice parameters (Å, degrees): 7.2842 7.2842 4.7701 90.00 90.00 120.00
Space group P6_3/mcm (No. 193)
One atom of each set of equivalent atoms:
Cu (0.0000, 0.4033, 0.2500) (multiplicity 6)
Ru (0.0000, 0.2162, 0.7500) (multiplicity 6)
Ru (0.3333, 0.6667, 0.0000) (multiplicity 4)

VASP calculation (GGA-PBE) on an optimized crystal structure of CuRu2.

The value obtained for the relative energy among the computed polymorphs is 0.09 eV/f.u. The volume is 40.9 Å³/cell. Its total moment is 0.0000 μB per atom. The value obtained for the formation energy is 0.1866 eV/atom. The value obtained for the density of states at the Fermi level is 3.79 states/eV/cell.

Lattice parameters (Å, degrees): 2.6980 2.6980 6.4854 90.00 90.00 120.00
Space group P-3m1 (No. 164)
One atom of each set of equivalent atoms:
Cu (0.0000, 0.0000, 0.0000) (multiplicity 1)
Ru (0.3333, 0.6667, 0.6602) (multiplicity 2)

VASP calculation (GGA-PBE) on an optimized crystal structure of CuRu3.

The volume is 54.3 Å³/cell. Its total moment is 0.0000 μB per atom. The value obtained for the formation energy is 0.2210 eV/atom. The value obtained for the density of states at the Fermi level is 4.41 states/eV/cell.

Lattice parameters (Å, degrees): 2.724 4.284 4.654 90.00 90.00 90.00
Space group Pmm2 (No. 25)
One atom of each set of equivalent atoms:
Cu (0.000, 0.000, 0.000) (multiplicity 1)
Ru (0.000, 0.500, 0.319) (multiplicity 1)
Ru (0.500, 0.000, 0.506) (multiplicity 1)
Ru (0.500, 0.500, 0.831) (multiplicity 1)

VASP calculation (GGA-PBE) on an optimized crystal structure of Cu4Ru.

The value obtained for the relative energy among the computed polymorphs is 1.48 eV/f.u. The volume is 132.7 Å³/cell. Its total moment is 0.0001 μB per atom. The value obtained for the formation energy is 0.5163 eV/atom. The value obtained for the density of states at the Fermi level is 8.45 states/eV/cell.

Lattice parameters (Å, degrees): 3.378 3.378 11.622 90.00 90.00 90.00
Space group I4/mmm (No. 139)
One atom of each set of equivalent atoms:
Cu (0.000, 0.000, 0.099) (multiplicity 4)
Cu (0.000, 0.500, 0.250) (multiplicity 4)
Ru (0.000, 0.000, 0.500) (multiplicity 2)